[1]
# ReAsP4

A PBEsol-optimized structure of ReAsP4 (meta-GGA SCAN, Alexandria).

```
data_ReAsP4
_chemical_formula_sum 'Re1 As1 P4'
_cell_length_a 4.9335
_cell_length_b 4.9335
_cell_length_c 4.9335
_cell_angle_alpha 60.00
_cell_angle_beta 60.00
_cell_angle_gamma 60.00
_symmetry_space_group_name_H-M 'P 1'
_symmetry_Int_Tables_number 1
_symmetry_space_group_name_Hall 'P 1'
loop_
_atom_site_label
_atom_site_type_symbol
_atom_site_fract_x
_atom_site_fract_y
_atom_site_fract_z
Re1 Re 0.0000 0.0000 0.0000
As1 As 0.2500 0.2500 0.2500
P1 P 0.1272 0.6243 0.6243
P2 P 0.6243 0.1272 0.6243
P3 P 0.6243 0.6243 0.1272
P4 P 0.6243 0.6243 0.6243
```

Output
Formation energy from the elements ... 1.262 eV per atom
V ... 85 Å³/cell
N(E_F) ... 0.78 states/eV/atom
DFT total energy ... -20.885 eV per atom

=====

[2]
# Re3AsP

A PBEsol-optimized structure of Re3AsP (meta-GGA SCAN, Alexandria).

```
data_Re3AsP
_chemical_formula_sum 'Re3 As1 P1'
_cell_length_a 4.3798
_cell_length_b 4.3798
_cell_length_c 4.3798
_cell_angle_alpha 90.00
_cell_angle_beta 90.00
_cell_angle_gamma 90.00
_symmetry_space_group_name_H-M 'P 1'
_symmetry_Int_Tables_number 1
_symmetry_space_group_name_Hall 'P 1'
loop_
_atom_site_label
_atom_site_type_symbol
_atom_site_fract_x
_atom_site_fract_y
_atom_site_fract_z
Re1 Re 0.0000 0.0000 0.5000
Re2 Re 0.0000 0.5000 0.0000
Re3 Re 0.5000 0.0000 0.0000
As1 As 0.5000 0.5000 0.5000
P1 P 0.0000 0.0000 0.0000
```

Output
Formation energy from the elements ... 1.275 eV per atom
V ... 84 Å³/cell
N(E_F) ... 0.99 states/eV/atom
DFT total energy ... -47.502 eV per atom

=====

[3]
# ReAsP

A PBEsol-optimized structure of ReAsP (meta-GGA SCAN, Alexandria).

```
data_ReAsP
_chemical_formula_sum 'Re1 As1 P1'
_cell_length_a 3.1307
_cell_length_b 3.1307
_cell_length_c 5.4016
_cell_angle_alpha 90.00
_cell_angle_beta 90.00
_cell_angle_gamma 120.00
_symmetry_space_group_name_H-M 'P 1'
_symmetry_Int_Tables_number 1
_symmetry_space_group_name_Hall 'P 1'
loop_
_atom_site_label
_atom_site_type_symbol
_atom_site_fract_x
_atom_site_fract_y
_atom_site_fract_z
Re1 Re 0.0000 0.0000 0.0000
As1 As 0.3333 0.6667 0.6638
P1 P 0.6667 0.3333 0.2914
```

Output
Formation energy from the elements ... 0.032 eV per atom
V ... 46 Å³/cell
N(E_F) ... 0.50 states/eV/atom
DFT total energy ... -33.864 eV per atom

=====

[4]
# ReAsP2S

A PBEsol-optimized structure of ReAsP2S (meta-GGA SCAN, Alexandria).

```
data_ReAsP2S
_chemical_formula_sum 'Re1 As1 P2 S1'
_cell_length_a 4.6850
_cell_length_b 4.6850
_cell_length_c 4.3745
_cell_angle_alpha 90.00
_cell_angle_beta 90.00
_cell_angle_gamma 90.00
_symmetry_space_group_name_H-M 'P 1'
_symmetry_Int_Tables_number 1
_symmetry_space_group_name_Hall 'P 1'
loop_
_atom_site_label
_atom_site_type_symbol
_atom_site_fract_x
_atom_site_fract_y
_atom_site_fract_z
Re1 Re 0.0000 0.0000 0.0000
As1 As 0.5000 0.5000 0.5000
P1 P 0.0000 0.5000 0.0000
P2 P 0.5000 0.0000 0.0000
S1 S 0.0000 0.0000 0.5000
```

Output
V ... 96 Å³/cell
N(E_F) ... 0.85 states/eV/atom
DFT total energy ... -23.546 eV per atom
Energy relative to the elements, uncorrected ... 797 meV/atom

=====

[5]
# As4PRh10

A PBEsol-optimized structure of As4PRh10 (meta-GGA SCAN, Alexandria).

```
data_As4PRh10
_chemical_formula_sum 'As4 P1 Rh10'
_cell_length_a 16.3750
_cell_length_b 16.3750
_cell_length_c 16.3750
_cell_angle_alpha 13.96
_cell_angle_beta 13.96
_cell_angle_gamma 13.96
_symmetry_space_group_name_H-M 'P 1'
_symmetry_Int_Tables_number 1
_symmetry_space_group_name_Hall 'P 1'
loop_
_atom_site_label
_atom_site_type_symbol
_atom_site_fract_x
_atom_site_fract_y
_atom_site_fract_z
As1 As 0.1013 0.1013 0.1013
As2 As 0.2995 0.2995 0.2995
As3 As 0.7005 0.7005 0.7005
As4 As 0.8987 0.8987 0.8987
P1 P 0.5000 0.5000 0.5000
Rh1 Rh 0.0508 0.0508 0.0508
Rh2 Rh 0.1516 0.1516 0.1516
Rh3 Rh 0.2488 0.2488 0.2488
Rh4 Rh 0.3502 0.3502 0.3502
Rh5 Rh 0.4523 0.4523 0.4523
Rh6 Rh 0.5477 0.5477 0.5477
Rh7 Rh 0.6498 0.6498 0.6498
Rh8 Rh 0.7512 0.7512 0.7512
Rh9 Rh 0.8484 0.8484 0.8484
Rh10 Rh 0.9492 0.9492 0.9492
```

Output
Formation energy from the elements ... -0.669 eV per atom
V ... 222 Å³/cell
N(E_F) ... 0.35 states/eV/atom
DFT total energy ... -29.261 eV per atom

=====

[6]
# AsPRh3

A PBEsol-optimized structure of AsPRh3 (meta-GGA SCAN, Alexandria).

```
data_AsPRh3
_chemical_formula_sum 'As1 P1 Rh3'
_cell_length_a 4.3347
_cell_length_b 4.3347
_cell_length_c 4.3347
_cell_angle_alpha 90.00
_cell_angle_beta 90.00
_cell_angle_gamma 90.00
_symmetry_space_group_name_H-M 'P 1'
_symmetry_Int_Tables_number 1
_symmetry_space_group_name_Hall 'P 1'
loop_
_atom_site_label
_atom_site_type_symbol
_atom_site_fract_x
_atom_site_fract_y
_atom_site_fract_z
As1 As 0.0000 0.0000 0.0000
P1 P 0.5000 0.5000 0.5000
Rh1 Rh 0.0000 0.5000 0.5000
Rh2 Rh 0.5000 0.0000 0.5000
Rh3 Rh 0.5000 0.5000 0.0000
```

Output
Energy above the lowest structure with this stoichiometry ... 0.000 eV/atom
Formation energy from the elements ... 0.137 eV per atom
V ... 81 Å³/cell
N(E_F) ... 1.18 states/eV/atom
DFT total energy ... -26.244 eV per atom

=====

[7]
# AsPRh3

A PBEsol-optimized structure of AsPRh3 (meta-GGA SCAN, Alexandria).

```
data_AsPRh3
_chemical_formula_sum 'As1 P1 Rh3'
_cell_length_a 4.4658
_cell_length_b 4.4658
_cell_length_c 4.4658
_cell_angle_alpha 90.00
_cell_angle_beta 90.00
_cell_angle_gamma 90.00
_symmetry_space_group_name_H-M 'P 1'
_symmetry_Int_Tables_number 1
_symmetry_space_group_name_Hall 'P 1'
loop_
_atom_site_label
_atom_site_type_symbol
_atom_site_fract_x
_atom_site_fract_y
_atom_site_fract_z
As1 As 0.0000 0.0000 0.0000
P1 P 0.5000 0.5000 0.5000
Rh1 Rh 0.0000 0.0000 0.5000
Rh2 Rh 0.0000 0.5000 0.0000
Rh3 Rh 0.5000 0.0000 0.0000
```

Output
Energy above the lowest structure with this stoichiometry ... 0.588 eV/atom
Formation energy from the elements ... 0.725 eV per atom
V ... 89 Å³/cell
N(E_F) ... 0.86 states/eV/atom
DFT total energy ... -25.656 eV per atom

=====

[8]
# AsP3Rh

A PBEsol-optimized structure of AsP3Rh (meta-GGA SCAN, Alexandria).

```
data_AsP3Rh
_chemical_formula_sum 'As1 P3 Rh1'
_cell_length_a 4.4889
_cell_length_b 4.4889
_cell_length_c 4.4889
_cell_angle_alpha 90.00
_cell_angle_beta 90.00
_cell_angle_gamma 90.00
_symmetry_space_group_name_H-M 'P 1'
_symmetry_Int_Tables_number 1
_symmetry_space_group_name_Hall 'P 1'
loop_
_atom_site_label
_atom_site_type_symbol
_atom_site_fract_x
_atom_site_fract_y
_atom_site_fract_z
As1 As 0.0000 0.0000 0.0000
P1 P 0.0000 0.0000 0.5000
P2 P 0.0000 0.5000 0.0000
P3 P 0.5000 0.0000 0.0000
Rh1 Rh 0.5000 0.5000 0.5000
```

Output
Formation energy from the elements ... 1.359 eV per atom
V ... 90 Å³/cell
N(E_F) ... 0.34 states/eV/atom
DFT total energy ... -15.672 eV per atom

=====

[9]
# ScAsPRh2

A PBEsol-optimized structure of ScAsPRh2 (meta-GGA SCAN, Alexandria).

```
data_ScAsPRh2
_chemical_formula_sum 'Sc1 As1 P1 Rh2'
_cell_length_a 4.4404
_cell_length_b 4.4404
_cell_length_c 4.8185
_cell_angle_alpha 90.00
_cell_angle_beta 90.00
_cell_angle_gamma 90.00
_symmetry_space_group_name_H-M 'P 1'
_symmetry_Int_Tables_number 1
_symmetry_space_group_name_Hall 'P 1'
loop_
_atom_site_label
_atom_site_type_symbol
_atom_site_fract_x
_atom_site_fract_y
_atom_site_fract_z
Sc1 Sc 0.0000 0.0000 0.0000
As1 As 0.5000 0.5000 0.5000
P1 P 0.5000 0.5000 0.0000
Rh1 Rh 0.0000 0.5000 0.5000
Rh2 Rh 0.5000 0.0000 0.5000
```

Output
Formation energy from the elements ... 0.125 eV per atom
V ... 95 Å³/cell
N(E_F) ... 0.81 states/eV/atom
DFT total energy ... -22.349 eV per atom

=====

[10]
# AsPRu

A PBEsol-optimized structure of AsPRu (meta-GGA SCAN, Alexandria).

```
data_AsPRu
_chemical_formula_sum 'As1 P1 Ru1'
_cell_length_a 3.1331
_cell_length_b 3.1331
_cell_length_c 5.2325
_cell_angle_alpha 90.00
_cell_angle_beta 90.00
_cell_angle_gamma 120.00
_symmetry_space_group_name_H-M 'P 1'
_symmetry_Int_Tables_number 1
_symmetry_space_group_name_Hall 'P 1'
loop_
_atom_site_label
_atom_site_type_symbol
_atom_site_fract_x
_atom_site_fract_y
_atom_site_fract_z
As1 As 0.0000 0.0000 0.0000
P1 P 0.3333 0.6667 0.6330
Ru1 Ru 0.6667 0.3333 0.3439
```

Output
Energy above the lowest structure with this stoichiometry ... 0.000 eV/atom
Formation energy from the elements ... -0.094 eV per atom
V ... 44 Å³/cell
N(E_F) ... 0.58 states/eV/atom
DFT total energy ... -21.899 eV per atom